## LiTc3Mo (PBE)

Data for LiTc3Mo after structural relaxation.

The calculation puts the energy above the lowest structure with this stoichiometry at 511 meV per atom. As for the formation energy: 1.561 eV/atom.

The structure belongs to space group Pm-3m (No. 221); the cell edges are 4.7140, 4.7140 and 4.7140 Å and the angles 90.00°, 90.00° and 90.00°. The distinct sites, in fractional coordinates, are Li at (0.0000, 0.0000, 0.0000), Tc at (0.0000, 0.5000, 0.5000) and Mo at (0.5000, 0.5000, 0.5000).

## Ca2MgMn (PBE)

Data for Ca2MgMn after structural relaxation.

As for the formation energy: 0.302 eV/atom.

The structure belongs to space group F-43m (No. 216); the cell edges are 7.5615, 7.5615 and 7.5615 Å and the angles 90.00°, 90.00° and 90.00°. The distinct sites, in fractional coordinates, are Ca at (0.0000, 0.0000, 0.0000), Ca at (0.2500, 0.2500, 0.2500), Mg at (0.0000, 0.0000, 0.5000) and Mn at (0.2500, 0.2500, 0.7500).

## CuTe3N (PBE)

Data for CuTe3N after structural relaxation.

The calculation puts the energy above the lowest structure with this stoichiometry at 0 meV per atom. The value obtained for the formation energy without anion corrections is 0.90 eV per atom.

The structure belongs to space group Pm-3m (No. 221); the cell edges are 4.7249, 4.7249 and 4.7249 Å and the angles 90.00°, 90.00° and 90.00°. The distinct sites, in fractional coordinates, are Cu at (0.0000, 0.0000, 0.0000), Te at (0.0000, 0.5000, 0.5000) and N at (0.5000, 0.5000, 0.5000).

## Cs2Rb3AgBr6 (PBE)

Data for Cs2Rb3AgBr6 after structural relaxation.

The value obtained for the formation energy without anion corrections is -1.49 eV per atom.

The structure belongs to space group C2/m (No. 12); the cell edges are 8.6724, 14.9365 and 8.5662 Å and the angles 90.00°, 107.57° and 90.00°. The distinct sites, in fractional coordinates, are Cs at (0.0000, 0.1762, 0.0000), Rb at (0.0000, 0.0000, 0.5000), Rb at (0.0000, 0.3357, 0.5000), Ag at (0.0000, 0.5000, 0.0000), Br at (0.1836, 0.5000, 0.8093) and Br at (0.2357, 0.1646, 0.7246).

## LiCa2TeO6 (PBE)

Data for LiCa2TeO6 after structural relaxation.

The calculation puts the energy above the lowest structure with this stoichiometry at 0 meV per atom. The value obtained for the formation energy without anion corrections is -1.98 eV per atom.

The structure belongs to space group P2_1/c (No. 14); the cell edges are 5.5513, 5.7638 and 9.4359 Å and the angles 90.00°, 124.31° and 90.00°. The distinct sites, in fractional coordinates, are Li at (0.0000, 0.0000, 0.0000), Ca at (0.2233, 0.0610, 0.7438), Te at (0.5000, 0.0000, 0.5000), O at (0.1717, 0.1895, 0.4523), O at (0.2558, 0.7250, 0.4388) and O at (0.3703, 0.0394, 0.2630).

## La2ThMgTe5 (PBE)

Data for La2ThMgTe5 after structural relaxation.

The value obtained for the formation energy without anion corrections is -1.24 eV per atom.

The structure belongs to space group Cmc2_1 (No. 36); the cell edges are 4.4110, 19.1326 and 13.8307 Å and the angles 90.00°, 90.00° and 90.00°. The distinct sites, in fractional coordinates, are La at (0.0000, 0.1110, 0.0000), La at (0.0000, 0.1352, 0.6276), Th at (0.0000, 0.2040, 0.3255), Mg at (0.0000, 0.4497, 0.7663), Te at (0.0000, 0.0471, 0.3857), Te at (0.0000, 0.2861, 0.9878), Te at (0.0000, 0.3141, 0.6603), Te at (0.0000, 0.3687, 0.3176) and Te at (0.0000, 0.4929, 0.0874).

## LaMgTl2O (PBE)

Data for LaMgTl2O after structural relaxation.

The value obtained for the formation energy without anion corrections is -0.49 eV per atom.

The structure belongs to space group P4/mmm (No. 123); the cell edges are 6.6632, 6.6632 and 4.2484 Å and the angles 90.00°, 90.00° and 90.00°. The distinct sites, in fractional coordinates, are La at (0.0000, 0.0000, 0.0000), Mg at (0.5000, 0.5000, 0.5000), Tl at (0.0000, 0.5000, 0.0000) and O at (0.0000, 0.0000, 0.5000).

## CaVBSe (PBE)

Data for CaVBSe after structural relaxation.

The calculation puts the energy above the lowest structure with this stoichiometry at 24 meV per atom. The value obtained for the formation energy without anion corrections is -0.37 eV per atom.

The structure belongs to space group R3m (No. 160, hexagonal axes); the cell edges are 3.5019, 3.5019 and 19.1737 Å and the angles 90.00°, 90.00° and 120.00°. The distinct sites, in fractional coordinates, are Ca at (0.0000, 0.0000, 0.0000), V at (0.0000, 0.0000, 0.1964), B at (0.0000, 0.0000, 0.5745) and Se at (0.0000, 0.0000, 0.7787).

Record-wise total magnetization values, in μB/atom: 0.540, 1.056, 0.000, 0.000, 0.107, 0.000, 0.000, 0.000
Record-wise calculated density values, in g/cm³: 6.291, 2.449, 7.247, 3.483, 4.137, 6.670, 5.176, 4.423
Record-wise total DFT energy (no corrections) values, in eV per cell: -36.0, -54.2, -17.4, -70.7, -117.1, -183.1, -18.7, -68.3